# 1
DFT (PBE) results for BPtRh2 after structural relaxation.

Cell and atoms, written as POSCAR:
```
BPtRh2
1.0
-1.262 -0.538 2.456
-0.102 -2.634 0.982
6.051 0.026 4.725
B Pt Rh
1 1 2
direct
0.666 0.666 0.001 B
0.500 0.500 0.499 Pt
0.061 0.061 0.816 Rh
0.272 0.272 0.184 Rh
```

Calculated values
ΔH_f (0 K), meV/atom: -153.1
Space-group type: R3m (160)
DFT total energy, eV per atom: -7.01

***

# 2
DFT (PBE) results for Pu2Zr2Sc7 after structural relaxation.

Cell and atoms, written as POSCAR:
```
Pu2Zr2Sc7
1.0
7.598 0.806 1.164
0.103 5.909 1.203
0.103 -0.949 5.955
Pu Sc Zr
2 7 2
direct
0.500 0.836 0.164 Pu
0.500 0.164 0.836 Pu
0.190 0.099 0.497 Sc
0.190 0.497 0.099 Sc
0.000 0.000 0.000 Sc
0.810 0.901 0.503 Sc
0.810 0.503 0.901 Sc
0.525 0.319 0.319 Sc
0.475 0.681 0.681 Sc
0.866 0.397 0.397 Zr
0.134 0.603 0.603 Zr
```

Calculated values
ΔH_f (0 K), meV/atom: 229.6
Space-group type: C2/m (12)
DFT total energy, eV per atom: -7.96

***

# 3
DFT (PBE) results for YSnCl6 after structural relaxation.

Cell and atoms, written as POSCAR:
```
YSnCl6
1.0
-6.480 -0.865 1.277
-3.146 -5.420 -2.258
-1.811 -5.034 4.777
Cl Y Sn
6 1 1
direct
0.594 0.250 0.249 Cl
0.250 0.907 0.249 Cl
0.750 0.093 0.751 Cl
0.406 0.750 0.751 Cl
0.907 0.594 0.249 Cl
0.093 0.406 0.751 Cl
0.500 0.500 0.500 Y
0.000 0.000 0.000 Sn
```

Calculated values
Space-group type: R-3 (148)
Formation energy without anion corrections, eV/atom: -1.51
DFT total energy, eV per atom: -4.20

***

# 4
DFT (PBE) results for MnBW2N after structural relaxation.

Cell and atoms, written as POSCAR:
```
MnBW2N
1.0
-1.465 -0.434 -4.312
0.025 -2.790 0.272
-4.333 0.105 1.462
Mn W B N
1 2 1 1
direct
0.500 0.500 0.500 Mn
0.500 0.000 0.000 W
0.000 0.000 0.500 W
0.000 0.000 0.000 B
0.000 0.500 0.000 N
```

Calculated values
Space-group type: P4/mmm (123)
Formation energy without anion corrections, eV/atom: 0.90
DFT total energy, eV per atom: -9.12

***

# 5
DFT (PBE) results for MgSiIr2 after structural relaxation.

Cell and atoms, written as POSCAR:
```
MgSiIr2
1.0
-3.517 1.314 -2.087
-0.579 -2.716 -0.733
-2.861 -1.902 3.624
Mg Ir Si
1 2 1
direct
0.000 0.560 0.509 Mg
0.000 0.823 0.981 Ir
0.500 0.187 0.248 Ir
0.500 0.930 0.763 Si
```

Calculated values
Space-group type: Pm (6)
Formation energy without anion corrections, eV/atom: -0.37
DFT total energy, eV per atom: -6.55

***

# 6
DFT (PBE) results for Pr4PtAuI2 after structural relaxation.

Cell and atoms, written as POSCAR:
```
Pr4PtAuI2
1.0
-0.677 -3.100 2.983
7.413 -0.804 0.847
-2.533 5.904 5.560
Au Pr Pt I
1 4 1 2
direct
0.500 0.500 0.000 Au
0.000 0.745 0.195 Pr
0.000 0.255 0.805 Pr
0.500 0.226 0.193 Pr
0.500 0.774 0.807 Pr
0.000 0.000 0.000 Pt
0.500 0.000 0.500 I
0.000 0.500 0.500 I
```

Calculated values
Space-group type: P2/m (10)
Formation energy without anion corrections, eV/atom: -0.97
DFT total energy, eV per atom: -4.91

***

# 7
DFT (PBE) results for Cs2TlNiCl6 after structural relaxation.

Cell and atoms, written as POSCAR:
```
Cs2TlNiCl6
1.0
7.474 0.000 0.000
0.000 7.474 0.000
3.737 3.737 5.282
Cl Cs Tl Ni
6 2 1 1
direct
0.277 0.277 0.446 Cl
0.724 0.276 0.000 Cl
0.276 0.276 0.000 Cl
0.276 0.724 0.000 Cl
0.723 0.723 0.554 Cl
0.724 0.724 0.000 Cl
0.750 0.250 0.500 Cs
0.250 0.750 0.500 Cs
0.000 0.000 0.000 Tl
0.500 0.500 0.000 Ni
```

Calculated values
Space-group type: Fm-3m (225)
Formation energy without anion corrections, eV/atom: -1.23
DFT total energy, eV per atom: -3.33

***

# 8
DFT (PBE) results for Sm4Dy5In2 after structural relaxation.

Cell and atoms, written as POSCAR:
```
Sm4Dy5In2
1.0
-2.864 -4.166 1.425
2.313 -4.111 2.312
-2.648 3.716 15.225
Dy In Sm
5 2 4
direct
0.500 0.500 0.500 Dy
0.352 0.352 0.945 Dy
0.648 0.648 0.055 Dy
0.197 0.197 0.409 Dy
0.803 0.803 0.591 Dy
0.879 0.879 0.363 In
0.121 0.121 0.637 In
0.726 0.726 0.822 Sm
0.427 0.427 0.719 Sm
0.573 0.573 0.281 Sm
0.274 0.274 0.178 Sm
```

Calculated values
ΔH_f (0 K), meV/atom: 182.0
Space-group type: R-3m (166)
DFT total energy, eV per atom: -4.12

***

# 9
DFT (PBE) results for Ce2Al2SnRh5 after structural relaxation.

Cell and atoms, written as POSCAR:
```
Ce2Al2SnRh5
1.0
3.605 0.000 0.000
0.000 9.957 0.000
0.000 0.000 9.957
Rh Ce Sn Al
10 4 2 4
direct
0.500 0.788 0.930 Rh
0.500 0.500 0.000 Rh
0.500 0.212 0.070 Rh
0.500 0.930 0.212 Rh
0.500 0.288 0.570 Rh
0.500 0.070 0.788 Rh
0.500 0.430 0.288 Rh
0.500 0.712 0.430 Rh
0.500 0.000 0.500 Rh
0.500 0.570 0.712 Rh
0.000 0.679 0.179 Ce
0.000 0.179 0.321 Ce
0.000 0.821 0.679 Ce
0.000 0.321 0.821 Ce
0.000 0.000 0.000 Sn
0.000 0.500 0.500 Sn
0.000 0.381 0.119 Al
0.000 0.619 0.881 Al
0.000 0.119 0.619 Al
0.000 0.881 0.381 Al
```

Calculated values
ΔH_f (0 K), meV/atom: -778.4
Space-group type: P4/mbm (127)
DFT total energy, eV per atom: -6.79

***

# 10
DFT (PBE) results for NiB4Rh6 after structural relaxation.

Cell and atoms, written as POSCAR:
```
NiB4Rh6
1.0
4.319 -0.288 2.853
-1.517 4.054 2.853
-0.325 -0.437 6.785
Rh B Ni
6 4 1
direct
0.213 0.213 0.348 Rh
0.527 0.527 0.442 Rh
0.544 0.911 0.600 Rh
0.453 0.948 0.022 Rh
0.948 0.453 0.022 Rh
0.911 0.544 0.601 Rh
0.396 0.396 0.835 B
0.027 0.608 0.225 B
0.852 0.852 0.759 B
0.608 0.027 0.225 B
0.022 0.022 0.920 Ni
```

Calculated values
ΔH_f (0 K), meV/atom: -181.5
Space-group type: Cm (8)
DFT total energy, eV per atom: -7.15

***

# 11
DFT (PBE) results for Li2MgTe2 after structural relaxation.

Cell and atoms, written as POSCAR:
```
Li2MgTe2
1.0
7.815 0.000 0.000
0.000 7.815 0.000
0.000 0.000 3.685
Li Te Mg
4 4 2
direct
0.120 0.380 0.000 Li
0.380 0.880 0.000 Li
0.620 0.120 0.000 Li
0.880 0.620 0.000 Li
0.314 0.186 0.500 Te
0.186 0.686 0.500 Te
0.686 0.814 0.500 Te
0.814 0.314 0.500 Te
0.500 0.500 0.000 Mg
0.000 0.000 0.000 Mg
```

Calculated values
Space-group type: P4/mbm (127)
Formation energy without anion corrections, eV/atom: -0.56
DFT total energy, eV per atom: -2.91

***

# 12
DFT (PBE) results for ErMg4In after structural relaxation.

Cell and atoms, written as POSCAR:
```
ErMg4In
1.0
-1.034 -5.825 0.605
2.436 -2.998 4.521
-3.420 -1.966 4.450
Mg Er In
4 1 1
direct
0.125 0.625 0.625 Mg
0.625 0.625 0.125 Mg
0.625 0.625 0.625 Mg
0.625 0.125 0.625 Mg
0.250 0.250 0.250 Er
0.000 0.000 0.000 In
```

Calculated values
ΔH_f (0 K), meV/atom: -4.8
Space-group type: F-43m (216)
DFT total energy, eV per atom: -2.28